Record 1
Hf2Ni2Hg after structural relaxation. Source: Alexandria, functional PBE-GGA.

```
data_Hf2Ni2Hg
_chemical_formula_sum 'Hf2 Ni2 Hg1'
_cell_length_a 3.343
_cell_length_b 3.343
_cell_length_c 8.454
_cell_angle_alpha 78.60
_cell_angle_beta 78.60
_cell_angle_gamma 90.00
_symmetry_space_group_name_H-M 'P 1'
_symmetry_Int_Tables_number 1
loop_
_symmetry_equiv_pos_as_xyz
'x,y,z'
loop_
_atom_site_label
_atom_site_type_symbol
_atom_site_fract_x
_atom_site_fract_y
_atom_site_fract_z
Hg1 Hg 0.000 0.000 0.000
Ni1 Ni 0.750 0.250 0.500
Hf1 Hf 0.626 0.626 0.748
Ni2 Ni 0.250 0.750 0.500
Hf2 Hf 0.374 0.374 0.252
```

## Properties
- ΔE_f (eV per atom) = -0.11

Record 2
Sr2AlN after structural relaxation. Source: Alexandria, functional PBE-GGA.

```
data_Sr2AlN
_chemical_formula_sum 'Sr2 Al1 N1'
_cell_length_a 5.219
_cell_length_b 5.219
_cell_length_c 5.219
_cell_angle_alpha 60.00
_cell_angle_beta 60.00
_cell_angle_gamma 60.00
_symmetry_space_group_name_H-M 'P 1'
_symmetry_Int_Tables_number 1
loop_
_symmetry_equiv_pos_as_xyz
'x,y,z'
loop_
_atom_site_label
_atom_site_type_symbol
_atom_site_fract_x
_atom_site_fract_y
_atom_site_fract_z
Sr1 Sr 0.750 0.750 0.750
Al1 Al 0.500 0.500 0.500
Sr2 Sr 0.250 0.250 0.250
N1 N 0.000 0.000 0.000
```

## Properties
- excess energy over the best structure of this formula in the dataset (meV per atom) = 667
- formation energy from raw total energies (eV/atom) = 0.53

Record 3
Se3ICl after structural relaxation. Source: Alexandria, functional PBE-GGA.

```
data_Se3ICl
_chemical_formula_sum 'Se3 I1 Cl1'
_cell_length_a 5.123
_cell_length_b 5.123
_cell_length_c 5.123
_cell_angle_alpha 90.00
_cell_angle_beta 90.00
_cell_angle_gamma 90.00
_symmetry_space_group_name_H-M 'P 1'
_symmetry_Int_Tables_number 1
loop_
_symmetry_equiv_pos_as_xyz
'x,y,z'
loop_
_atom_site_label
_atom_site_type_symbol
_atom_site_fract_x
_atom_site_fract_y
_atom_site_fract_z
Se1 Se 0.500 0.000 0.000
Se2 Se 0.000 0.000 0.500
Se3 Se 0.000 0.500 0.000
Cl1 Cl 0.000 0.000 0.000
I1 I 0.500 0.500 0.500
```

## Properties
- excess energy over the best structure of this formula in the dataset (meV per atom) = 942
- formation energy from raw total energies (eV/atom) = 0.94

Record 4
Cr2NiOs after structural relaxation. Source: Alexandria, functional PBE-GGA.

```
data_Cr2NiOs
_chemical_formula_sum 'Cr2 Ni1 Os1'
_cell_length_a 4.456
_cell_length_b 4.456
_cell_length_c 4.394
_cell_angle_alpha 80.31
_cell_angle_beta 80.31
_cell_angle_gamma 34.75
_symmetry_space_group_name_H-M 'P 1'
_symmetry_Int_Tables_number 1
loop_
_symmetry_equiv_pos_as_xyz
'x,y,z'
loop_
_atom_site_label
_atom_site_type_symbol
_atom_site_fract_x
_atom_site_fract_y
_atom_site_fract_z
Os1 Os 0.250 0.250 0.250
Ni1 Ni 0.750 0.750 0.750
Cr1 Cr 0.498 0.498 0.515
Cr2 Cr 0.002 0.002 0.985
```

## Properties
- ΔE_f (eV per atom) = 0.13

Record 5
Mg2CdGe after structural relaxation. Source: Alexandria, functional PBE-GGA.

```
data_Mg2CdGe
_chemical_formula_sum 'Mg2 Cd1 Ge1'
_cell_length_a 3.484
_cell_length_b 3.484
_cell_length_c 6.741
_cell_angle_alpha 90.00
_cell_angle_beta 90.00
_cell_angle_gamma 90.00
_symmetry_space_group_name_H-M 'P 1'
_symmetry_Int_Tables_number 1
loop_
_symmetry_equiv_pos_as_xyz
'x,y,z'
loop_
_atom_site_label
_atom_site_type_symbol
_atom_site_fract_x
_atom_site_fract_y
_atom_site_fract_z
Cd1 Cd 0.500 0.500 0.500
Mg1 Mg 0.000 0.000 0.235
Ge1 Ge 0.500 0.500 0.000
Mg2 Mg 0.000 0.000 0.765
```

## Properties
- ΔE_f (eV per atom) = -0.08

Record 6
Pr2HfSe5 after structural relaxation. Source: Alexandria, functional PBE-GGA.

```
data_Pr2HfSe5
_chemical_formula_sum 'Pr8 Hf4 Se20'
_cell_length_a 7.772
_cell_length_b 8.397
_cell_length_c 12.202
_cell_angle_alpha 90.00
_cell_angle_beta 90.00
_cell_angle_gamma 90.00
_symmetry_space_group_name_H-M 'P 1'
_symmetry_Int_Tables_number 1
loop_
_symmetry_equiv_pos_as_xyz
'x,y,z'
loop_
_atom_site_label
_atom_site_type_symbol
_atom_site_fract_x
_atom_site_fract_y
_atom_site_fract_z
Pr1 Pr 0.962 0.503 0.676
Se1 Se 0.155 0.750 0.817
Se2 Se 0.442 0.250 0.006
Pr2 Pr 0.038 0.003 0.324
Se3 Se 0.845 0.250 0.183
Pr3 Pr 0.038 0.497 0.324
Se4 Se 0.058 0.250 0.506
Se5 Se 0.345 0.750 0.317
Pr4 Pr 0.538 0.997 0.176
Se6 Se 0.674 0.750 0.706
Se7 Se 0.833 0.463 0.917
Pr5 Pr 0.962 0.997 0.676
Hf1 Hf 0.924 0.750 0.992
Pr6 Pr 0.462 0.003 0.824
Se8 Se 0.326 0.250 0.294
Se9 Se 0.558 0.750 0.994
Se10 Se 0.826 0.750 0.206
Pr7 Pr 0.462 0.497 0.824
Se11 Se 0.167 0.537 0.083
Se12 Se 0.167 0.963 0.083
Se13 Se 0.333 0.963 0.583
Se14 Se 0.833 0.037 0.917
Se15 Se 0.667 0.037 0.417
Hf2 Hf 0.076 0.250 0.008
Se16 Se 0.667 0.463 0.417
Se17 Se 0.942 0.750 0.494
Se18 Se 0.333 0.537 0.583
Hf3 Hf 0.576 0.750 0.492
Se19 Se 0.655 0.250 0.683
Hf4 Hf 0.424 0.250 0.508
Pr8 Pr 0.538 0.503 0.176
Se20 Se 0.174 0.250 0.794
```

## Properties
- excess energy over the best structure of this formula in the dataset (meV per atom) = 0
- formation energy from raw total energies (eV/atom) = -1.69

Record 7
TlHS2Cl after structural relaxation. Source: Alexandria, functional PBE-GGA.

```
data_TlHS2Cl
_chemical_formula_sum 'Tl1 H1 S2 Cl1'
_cell_length_a 3.942
_cell_length_b 3.942
_cell_length_c 6.805
_cell_angle_alpha 90.00
_cell_angle_beta 90.00
_cell_angle_gamma 90.00
_symmetry_space_group_name_H-M 'P 1'
_symmetry_Int_Tables_number 1
loop_
_symmetry_equiv_pos_as_xyz
'x,y,z'
loop_
_atom_site_label
_atom_site_type_symbol
_atom_site_fract_x
_atom_site_fract_y
_atom_site_fract_z
S1 S 0.500 0.000 0.000
H1 H 0.000 0.000 0.000
S2 S 0.000 0.500 0.000
Tl1 Tl 0.500 0.500 0.500
Cl1 Cl 0.000 0.000 0.500
```

## Properties
- excess energy over the best structure of this formula in the dataset (meV per atom) = 0

Record 8
LaPr3Nd4Se8 after structural relaxation. Source: Alexandria, functional PBE-GGA.

```
data_LaPr3Nd4Se8
_chemical_formula_sum 'La1 Pr3 Nd4 Se8'
_cell_length_a 8.514
_cell_length_b 8.509
_cell_length_c 8.510
_cell_angle_alpha 119.98
_cell_angle_beta 120.01
_cell_angle_gamma 90.00
_symmetry_space_group_name_H-M 'P 1'
_symmetry_Int_Tables_number 1
loop_
_symmetry_equiv_pos_as_xyz
'x,y,z'
loop_
_atom_site_label
_atom_site_type_symbol
_atom_site_fract_x
_atom_site_fract_y
_atom_site_fract_z
Pr1 Pr 0.500 0.500 0.500
Pr2 Pr 0.500 0.500 0.000
Se1 Se 0.749 0.246 0.497
Nd1 Nd 0.000 0.000 0.000
Se2 Se 0.751 0.754 0.002
Se3 Se 0.251 0.754 0.002
Se4 Se 0.251 0.754 0.503
Se5 Se 0.749 0.246 0.998
Nd2 Nd 0.000 0.000 0.500
Se6 Se 0.249 0.246 0.998
Se7 Se 0.249 0.247 0.498
Nd3 Nd 0.500 0.000 0.500
La1 La 0.000 0.500 0.000
Nd4 Nd 0.500 0.000 0.000
Pr3 Pr 0.000 0.500 0.500
Se8 Se 0.751 0.753 0.502
```

## Properties
- formation energy from raw total energies (eV/atom) = -1.86

Please write out number 6 again, unchanged.
Pr2HfSe5 after structural relaxation. Source: Alexandria, functional PBE-GGA.

```
data_Pr2HfSe5
_chemical_formula_sum 'Pr8 Hf4 Se20'
_cell_length_a 7.772
_cell_length_b 8.397
_cell_length_c 12.202
_cell_angle_alpha 90.00
_cell_angle_beta 90.00
_cell_angle_gamma 90.00
_symmetry_space_group_name_H-M 'P 1'
_symmetry_Int_Tables_number 1
loop_
_symmetry_equiv_pos_as_xyz
'x,y,z'
loop_
_atom_site_label
_atom_site_type_symbol
_atom_site_fract_x
_atom_site_fract_y
_atom_site_fract_z
Pr1 Pr 0.962 0.503 0.676
Se1 Se 0.155 0.750 0.817
Se2 Se 0.442 0.250 0.006
Pr2 Pr 0.038 0.003 0.324
Se3 Se 0.845 0.250 0.183
Pr3 Pr 0.038 0.497 0.324
Se4 Se 0.058 0.250 0.506
Se5 Se 0.345 0.750 0.317
Pr4 Pr 0.538 0.997 0.176
Se6 Se 0.674 0.750 0.706
Se7 Se 0.833 0.463 0.917
Pr5 Pr 0.962 0.997 0.676
Hf1 Hf 0.924 0.750 0.992
Pr6 Pr 0.462 0.003 0.824
Se8 Se 0.326 0.250 0.294
Se9 Se 0.558 0.750 0.994
Se10 Se 0.826 0.750 0.206
Pr7 Pr 0.462 0.497 0.824
Se11 Se 0.167 0.537 0.083
Se12 Se 0.167 0.963 0.083
Se13 Se 0.333 0.963 0.583
Se14 Se 0.833 0.037 0.917
Se15 Se 0.667 0.037 0.417
Hf2 Hf 0.076 0.250 0.008
Se16 Se 0.667 0.463 0.417
Se17 Se 0.942 0.750 0.494
Se18 Se 0.333 0.537 0.583
Hf3 Hf 0.576 0.750 0.492
Se19 Se 0.655 0.250 0.683
Hf4 Hf 0.424 0.250 0.508
Pr8 Pr 0.538 0.503 0.176
Se20 Se 0.174 0.250 0.794
```

## Properties
- excess energy over the best structure of this formula in the dataset (meV per atom) = 0
- formation energy from raw total energies (eV/atom) = -1.69

- Number 7 is which compound?
  TlHS2Cl